CdMoPO2, relaxed, DFT PBE with a Hubbard U; DOS at the Fermi energy = 0.148 states/eV/atom; E_tot = -27.04 eV for the cell shown; space group = P4/mmm, No. 123; energy above the most stable polymorph in this dataset = 0.000 eV/atom
1.0
3.876 0.000 0.000
0.000 3.876 0.000
0.000 0.000 5.325
Cd Mo P O
1 1 1 2
Direct
0.000 0.000 0.000
0.500 0.500 0.500
0.500 0.500 0.000
0.000 0.500 0.500
0.500 0.000 0.500